1.
DFT (PBE) results for a geometry-optimized Mg4TlW structure.

Summary:
M_tot: 0.500 μB/atom
raw total energy: -2.948 eV/atom
energy of formation: 0.67 eV/atom
crystal system: cubic
volume: 21.2 Å³/atom

Cell: 5.642 5.642 5.642 Å, 60.00 60.00 60.00°
Element x y z (fractional)
Mg 0.376 0.376 0.376
Mg 0.376 0.376 0.873
Mg 0.376 0.873 0.376
Mg 0.873 0.376 0.376
Tl 0.000 0.000 0.000
W 0.750 0.750 0.750

---

2.
DFT (PBE) results for a geometry-optimized Mg2TlW structure.

Summary:
M_tot: 0.252 μB/atom
raw total energy: -3.684 eV/atom
energy of formation: 0.94 eV/atom
crystal system: tetragonal
volume: 21.3 Å³/atom

Cell: 6.166 6.166 6.166 Å, 102.42 102.42 124.73°
Element x y z (fractional)
Mg 0.122 0.625 0.997
Mg 0.375 0.372 0.497
Mg 0.628 0.125 0.003
Mg 0.875 0.878 0.503
Tl 0.250 0.750 0.500
Tl 0.500 0.500 0.000
W 0.000 0.000 0.000
W 0.750 0.250 0.500

---

3.
DFT (PBE) results for a geometry-optimized MgTl3W structure.

Summary:
M_tot: 0.215 μB/atom
raw total energy: -3.477 eV/atom
energy of formation: 0.85 eV/atom
crystal system: cubic
volume: 31.9 Å³/atom

Cell: 5.423 5.423 5.423 Å, 90.00 90.00 90.00°
Element x y z (fractional)
Mg 0.000 0.000 0.000
Tl 0.000 0.500 0.500
Tl 0.500 0.000 0.500
Tl 0.500 0.500 0.000
W 0.500 0.500 0.500

---

4.
DFT (PBE) results for a geometry-optimized Y4MgTl2 structure.

Summary:
M_tot: 0.001 μB/atom
raw total energy: -4.801 eV/atom
energy of formation: -0.20 eV/atom
crystal system: trigonal
volume: 29.2 Å³/atom

Cell: 9.007 9.007 9.007 Å, 34.09 34.09 34.09°
Element x y z (fractional)
Y 0.117 0.117 0.117
Y 0.370 0.370 0.370
Y 0.630 0.630 0.630
Y 0.883 0.883 0.883
Mg 0.500 0.500 0.500
Tl 0.246 0.246 0.246
Tl 0.754 0.754 0.754

---

5.
DFT (PBE) results for a geometry-optimized YMg8Tl6 structure.

Summary:
M_tot: 0.000 μB/atom
raw total energy: -2.215 eV/atom
energy of formation: 0.01 eV/atom
crystal system: trigonal
volume: 27.1 Å³/atom

Cell: 8.025 8.025 8.025 Å, 65.12 65.12 65.12°
Element x y z (fractional)
Y 0.000 0.000 0.000
Mg 0.112 0.771 0.444
Mg 0.229 0.556 0.888
Mg 0.333 0.333 0.333
Mg 0.444 0.112 0.771
Mg 0.556 0.888 0.229
Mg 0.667 0.667 0.667
Mg 0.771 0.444 0.112
Mg 0.888 0.229 0.556
Tl 0.064 0.404 0.731
Tl 0.269 0.936 0.596
Tl 0.404 0.731 0.064
Tl 0.596 0.269 0.936
Tl 0.731 0.064 0.404
Tl 0.936 0.596 0.269

---

6.
DFT (PBE) results for a geometry-optimized Y4MgTl5 structure.

Summary:
M_tot: 0.000 μB/atom
raw total energy: -4.230 eV/atom
energy of formation: -0.30 eV/atom
crystal system: tetragonal
volume: 26.7 Å³/atom

Cell: 3.697 3.697 19.550 Å, 90.00 90.00 90.00°
Element x y z (fractional)
Y 0.000 0.000 0.103
Y 0.000 0.000 0.311
Y 0.000 0.000 0.689
Y 0.000 0.000 0.897
Mg 0.000 0.000 0.500
Tl 0.500 0.500 0.000
Tl 0.500 0.500 0.206
Tl 0.500 0.500 0.412
Tl 0.500 0.500 0.588
Tl 0.500 0.500 0.794

---

7.
DFT (PBE) results for a geometry-optimized Y5MgTl3 structure.

Summary:
M_tot: 0.000 μB/atom
raw total energy: -4.889 eV/atom
energy of formation: -0.33 eV/atom
crystal system: hexagonal
volume: 27.9 Å³/atom

Cell: 9.312 9.312 6.690 Å, 90.00 90.00 120.00°
Element x y z (fractional)
Y 0.000 0.296 0.250
Y 0.000 0.704 0.750
Y 0.296 0.000 0.250
Y 0.296 0.296 0.750
Y 0.333 0.667 0.000
Y 0.333 0.667 0.500
Y 0.667 0.333 0.000
Y 0.667 0.333 0.500
Y 0.704 0.000 0.750
Y 0.704 0.704 0.250
Mg 0.000 0.000 0.000
Mg 0.000 0.000 0.500
Tl 0.000 0.365 0.750
Tl 0.000 0.635 0.250
Tl 0.365 0.000 0.750
Tl 0.365 0.365 0.250
Tl 0.635 0.000 0.250
Tl 0.635 0.635 0.750

---

8.
DFT (PBE) results for a geometry-optimized Y2MgTl structure.

Summary:
M_tot: 0.099 μB/atom
raw total energy: -4.467 eV/atom
energy of formation: -0.24 eV/atom
crystal system: orthorhombic
volume: 27.1 Å³/atom

Cell: 3.501 4.464 6.945 Å, 90.00 90.00 90.00°
Element x y z (fractional)
Y 0.000 0.000 0.248
Y 0.000 0.000 0.752
Mg 0.500 0.500 0.500
Tl 0.500 0.500 0.000

---

- What is the energy of formation in the fifth record?
  0.01 eV/atom

---

Please write out number 4 again, unchanged.
DFT (PBE) results for a geometry-optimized Y4MgTl2 structure.

Summary:
M_tot: 0.001 μB/atom
raw total energy: -4.801 eV/atom
energy of formation: -0.20 eV/atom
crystal system: trigonal
volume: 29.2 Å³/atom

Cell: 9.007 9.007 9.007 Å, 34.09 34.09 34.09°
Element x y z (fractional)
Y 0.117 0.117 0.117
Y 0.370 0.370 0.370
Y 0.630 0.630 0.630
Y 0.883 0.883 0.883
Mg 0.500 0.500 0.500
Tl 0.246 0.246 0.246
Tl 0.754 0.754 0.754

---

- Look up the volume of the seventh one.
  27.9 Å³/atom

---

- What is the formula in the third record?
  MgTl3W